{
  "formula": "UOsPt",
  "functional": "GGA-PBE",
  "state": "relaxed",
  "total_energy_ev_per_atom": -9.66,
  "crystal_system": "monoclinic",
  "density_g_cm3": 17.61,
  "formation_energy_ev_per_atom": -0.14,
  "lattice": [[5.697, 0.000, 0.000], [0.000, 3.645, 0.000], [-2.380, 0.000, 5.662]],
  "species": ["U", "U", "Os", "Os", "Pt", "Pt"],
  "fractional_positions": [[0.100, 0.250, 0.299], [0.900, 0.750, 0.701], [0.383, 0.750, 0.602], [0.617, 0.250, 0.398], [0.287, 0.250, 0.911], [0.713, 0.750, 0.089]]
}

{
  "formula": "CdTc",
  "functional": "GGA-PBE",
  "state": "relaxed",
  "total_energy_ev_per_atom": -5.16,
  "crystal_system": "tetragonal",
  "polymorph_energy_mev_per_atom": 371,
  "density_g_cm3": 10.28,
  "formation_energy_ev_per_atom": 0.48,
  "lattice": [[4.316, 0.000, 0.000], [0.000, 4.316, 0.000], [0.000, 0.000, 7.297]],
  "species": ["Cd", "Cd", "Cd", "Cd", "Tc", "Tc", "Tc", "Tc"],
  "fractional_positions": [[0.000, 0.250, 0.375], [0.000, 0.750, 0.625], [0.500, 0.250, 0.125], [0.500, 0.750, 0.875], [0.000, 0.250, 0.875], [0.000, 0.750, 0.125], [0.500, 0.250, 0.625], [0.500, 0.750, 0.375]]
}

{
  "formula": "Ce2PrTl3S6",
  "functional": "GGA-PBE",
  "state": "relaxed",
  "total_energy_ev_per_atom": -5.46,
  "crystal_system": "monoclinic",
  "density_g_cm3": 5.93,
  "raw_formation_energy_ev_per_atom": -1.41,
  "lattice": [[3.640, -6.305, 0.000], [3.640, 6.305, 0.000], [-2.426, 0.000, 7.477]],
  "species": ["Ce", "Ce", "Pr", "Tl", "Tl", "Tl", "S", "S", "S", "S", "S", "S"],
  "fractional_positions": [[0.167, 0.833, 0.000], [0.833, 0.167, 0.000], [0.500, 0.500, 0.000], [0.000, 0.000, 0.500], [0.334, 0.666, 0.500], [0.666, 0.334, 0.500], [0.096, 0.432, 0.797], [0.231, 0.231, 0.202], [0.432, 0.096, 0.797], [0.568, 0.904, 0.203], [0.769, 0.769, 0.798], [0.904, 0.568, 0.203]]
}

> Number 3 is which compound?

Ce2PrTl3S6